## 1
Crystalline MnAsSe2Br at its relaxed geometry. Source: Alexandria, functional GGA-PBE.

- Total moment: 0.05 μB per cell
- DOS at the Fermi energy: 6.58 states/eV/cell

Unit cell a=5.0809 b=5.0809 c=5.1081 alpha=90.00 beta=90.00 gamma=90.00
Closest atoms and distances in Å follow each position.
Space group P4/mmm (No. 123)
Symmetry-distinct sites (fractional):
Mn: 0.0000 0.0000 0.0000 (multiplicity 1)  4 As 3.59, 8 Se 3.60
As: 0.5000 0.5000 0.0000 (multiplicity 1)  2 Br 2.55
Se: 0.0000 0.5000 0.5000 (multiplicity 2)  2 Br 2.54
Br: 0.5000 0.5000 0.5000 (multiplicity 1)  4 Se 2.54, 2 As 2.55



## 2
Crystalline MnAsSe2Br at its relaxed geometry. Source: Alexandria, functional GGA-PBE.

- Total moment: 0.00 μB per cell
- DOS at the Fermi energy: 5.59 states/eV/cell

Unit cell a=4.5467 b=4.5467 c=5.1780 alpha=90.00 beta=90.00 gamma=90.00
Closest atoms and distances in Å follow each position.
Space group P4/mmm (No. 123)
Symmetry-distinct sites (fractional):
Mn: 0.0000 0.0000 0.0000 (multiplicity 1)  4 Se 2.27
As: 0.0000 0.0000 0.5000 (multiplicity 1)  2 Mn 2.59
Se: 0.0000 0.5000 0.0000 (multiplicity 2)  2 Mn 2.27
Br: 0.5000 0.5000 0.5000 (multiplicity 1)  4 As 3.21, 8 Se 3.45



Which structure loses on stability? 1 does.



## 1
Crystalline MnSiAsBr2 at its relaxed geometry. Source: Alexandria, functional GGA-PBE.

- Total moment: 4.07 μB per cell
- DOS at the Fermi energy: 2.81 states/eV/cell

Unit cell a=4.9249 b=4.9249 c=5.1604 alpha=90.00 beta=90.00 gamma=90.00
Closest atoms and distances in Å follow each position.
Space group P4/mmm (No. 123)
Symmetry-distinct sites (fractional):
Mn: 0.0000 0.0000 0.0000 (multiplicity 1)  4 Br 2.46, 2 As 2.58
Si: 0.5000 0.5000 0.5000 (multiplicity 1)  4 As 3.48, 8 Br 3.57
As: 0.0000 0.0000 0.5000 (multiplicity 1)  2 Mn 2.58
Br: 0.0000 0.5000 0.0000 (multiplicity 2)  2 Mn 2.46



## 2
Crystalline MnSiAsBr2 at its relaxed geometry. Source: Alexandria, functional GGA-PBE.

- Total moment: 4.66 μB per cell
- DOS at the Fermi energy: 2.80 states/eV/cell

Unit cell a=4.9904 b=4.9904 c=5.1314 alpha=90.00 beta=90.00 gamma=90.00
Closest atoms and distances in Å follow each position.
Space group P4/mmm (No. 123)
Symmetry-distinct sites (fractional):
Mn: 0.0000 0.0000 0.0000 (multiplicity 1)  4 As 3.53, 8 Br 3.58
Si: 0.5000 0.5000 0.5000 (multiplicity 1)  4 Br 2.50, 2 As 2.57
As: 0.5000 0.5000 0.0000 (multiplicity 1)  2 Si 2.57
Br: 0.0000 0.5000 0.5000 (multiplicity 2)  2 Si 2.50



Which structure loses on stability? 2 does.



## 1
Crystalline TaMnAsBr2 at its relaxed geometry. Source: Alexandria, functional GGA-PBE.

- Total moment: 5.59 μB per cell
- DOS at the Fermi energy: 3.44 states/eV/cell

Unit cell a=5.1599 b=5.1599 c=5.0931 alpha=90.00 beta=90.00 gamma=90.00
Closest atoms and distances in Å follow each position.
Space group P4/mmm (No. 123)
Symmetry-distinct sites (fractional):
Ta: 0.0000 0.0000 0.0000 (multiplicity 1)  2 As 2.55, 4 Br 2.58
Mn: 0.5000 0.5000 0.5000 (multiplicity 1)  8 Br 3.63, 4 As 3.65
As: 0.0000 0.0000 0.5000 (multiplicity 1)  2 Ta 2.55
Br: 0.0000 0.5000 0.0000 (multiplicity 2)  2 Ta 2.58



## 2
Crystalline TaMnAsBr2 at its relaxed geometry. Source: Alexandria, functional GGA-PBE.

- Total moment: 6.71 μB per cell
- DOS at the Fermi energy: 4.75 states/eV/cell

Unit cell a=4.8417 b=4.8417 c=5.1159 alpha=90.00 beta=90.00 gamma=90.00
Closest atoms and distances in Å follow each position.
Space group P4/mmm (No. 123)
Symmetry-distinct sites (fractional):
Ta: 0.0000 0.0000 0.0000 (multiplicity 1)  4 As 3.42, 8 Br 3.52
Mn: 0.5000 0.5000 0.5000 (multiplicity 1)  4 Br 2.42, 2 As 2.56
As: 0.5000 0.5000 0.0000 (multiplicity 1)  2 Mn 2.56
Br: 0.0000 0.5000 0.5000 (multiplicity 2)  2 Mn 2.42



Which structure loses on stability? 2 does.



## 1
Crystalline MnTcAsBr2 at its relaxed geometry. Source: Alexandria, functional GGA-PBE.

- Total moment: 4.39 μB per cell
- DOS at the Fermi energy: 4.33 states/eV/cell

Unit cell a=5.2383 b=5.2383 c=4.7513 alpha=90.00 beta=90.00 gamma=90.00
Closest atoms and distances in Å follow each position.
Space group P4/mmm (No. 123)
Symmetry-distinct sites (fractional):
Mn: 0.0000 0.0000 0.0000 (multiplicity 1)  8 Br 3.54, 4 As 3.70
Tc: 0.5000 0.5000 0.5000 (multiplicity 1)  2 As 2.38, 4 Br 2.62
As: 0.5000 0.5000 0.0000 (multiplicity 1)  2 Tc 2.38
Br: 0.0000 0.5000 0.5000 (multiplicity 2)  2 Tc 2.62



## 2
Crystalline MnTcAsBr2 at its relaxed geometry. Source: Alexandria, functional GGA-PBE.

- Total moment: 8.66 μB per cell
- DOS at the Fermi energy: 3.60 states/eV/cell

Unit cell a=4.9372 b=4.9372 c=5.2206 alpha=90.00 beta=90.00 gamma=90.00
Closest atoms and distances in Å follow each position.
Space group P4/mmm (No. 123)
Symmetry-distinct sites (fractional):
Mn: 0.0000 0.0000 0.0000 (multiplicity 1)  4 Br 2.47, 2 As 2.61
Tc: 0.5000 0.5000 0.5000 (multiplicity 1)  4 As 3.49, 8 Br 3.59
As: 0.0000 0.0000 0.5000 (multiplicity 1)  2 Mn 2.61
Br: 0.0000 0.5000 0.0000 (multiplicity 2)  2 Mn 2.47



Which structure loses on stability? 2 does.



## 1
Crystalline TiMnAsBr2 at its relaxed geometry. Source: Alexandria, functional GGA-PBE.

- Total moment: 5.90 μB per cell
- DOS at the Fermi energy: 2.56 states/eV/cell

Unit cell a=5.0172 b=5.0172 c=5.1844 alpha=90.00 beta=90.00 gamma=90.00
Closest atoms and distances in Å follow each position.
Space group P4/mmm (No. 123)
Symmetry-distinct sites (fractional):
Ti: 0.0000 0.0000 0.0000 (multiplicity 1)  4 Br 2.51, 2 As 2.59
Mn: 0.5000 0.5000 0.5000 (multiplicity 1)  4 As 3.55, 8 Br 3.61
As: 0.0000 0.0000 0.5000 (multiplicity 1)  2 Ti 2.59
Br: 0.0000 0.5000 0.0000 (multiplicity 2)  2 Ti 2.51



## 2
Crystalline TiMnAsBr2 at its relaxed geometry. Source: Alexandria, functional GGA-PBE.

- Total moment: 1.37 μB per cell
- DOS at the Fermi energy: 3.31 states/eV/cell

Unit cell a=4.8431 b=4.8431 c=5.9355 alpha=90.00 beta=90.00 gamma=90.00
Closest atoms and distances in Å follow each position.
Space group P4/mmm (No. 123)
Symmetry-distinct sites (fractional):
Ti: 0.0000 0.0000 0.0000 (multiplicity 1)  4 Br 2.42
Mn: 0.0000 0.0000 0.5000 (multiplicity 1)  2 Ti 2.97
As: 0.5000 0.5000 0.5000 (multiplicity 1)  4 Mn 3.42, 8 Br 3.83
Br: 0.0000 0.5000 0.0000 (multiplicity 2)  2 Ti 2.42



Which structure loses on stability? 2 does.



## 1
Crystalline MoAsBr at its relaxed geometry. Source: Alexandria, functional GGA-PBE.

- Total moment: 0.01 μB per cell
- DOS at the Fermi energy: 10.79 states/eV/cell

Unit cell a=3.4630 b=5.3729 c=14.3060 alpha=90.00 beta=90.00 gamma=90.00
Closest atoms and distances in Å follow each position.
Space group Fmm2 (No. 42)
Symmetry-distinct sites (fractional):
Mo: 0.0000 0.0000 0.0000 (multiplicity 4)  2 As 2.48, 2 Br 2.66
As: 0.0000 0.0000 0.6245 (multiplicity 4)  2 Mo 2.48
Br: 0.0000 0.0000 0.3585 (multiplicity 4)  2 Mo 2.66



## 2
Crystalline MoAsBr at its relaxed geometry. Source: Alexandria, functional GGA-PBE.

- Total moment: 0.00 μB per cell
- DOS at the Fermi energy: 0.81 states/eV/cell

Unit cell a=3.2429 b=3.2429 c=7.1276 alpha=90.00 beta=90.00 gamma=120.00
Closest atoms and distances in Å follow each position.
Space group P3m1 (No. 156)
Symmetry-distinct sites (fractional):
Mo: 0.0000 0.0000 0.0000 (multiplicity 1)  3 As 2.61, 3 Br 2.63
As: 0.3333 0.6667 0.2547 (multiplicity 1)  3 Mo 2.61
Br: 0.6667 0.3333 0.7408 (multiplicity 1)  3 Mo 2.63



Which structure loses on stability? 1 does.



## 1
Crystalline MoAsBr at its relaxed geometry. Source: Alexandria, functional GGA-PBE.

- Total moment: 7.69 μB per cell
- DOS at the Fermi energy: 5.67 states/eV/cell

Unit cell a=6.3691 b=6.3691 c=6.3691 alpha=90.00 beta=90.00 gamma=90.00
Closest atoms and distances in Å follow each position.
Space group F-43m (No. 216)
Symmetry-distinct sites (fractional):
Mo: 0.0000 0.0000 0.0000 (multiplicity 4)  4 Br 2.76, 4 As 2.76
As: 0.2500 0.2500 0.2500 (multiplicity 4)  4 Mo 2.76
Br: 0.2500 0.2500 0.7500 (multiplicity 4)  4 Mo 2.76



## 2
Crystalline MoAsBr at its relaxed geometry. Source: Alexandria, functional GGA-PBE.

- Total moment: 8.29 μB per cell
- DOS at the Fermi energy: 11.57 states/eV/cell

Unit cell a=6.5083 b=6.5083 c=6.5083 alpha=90.00 beta=90.00 gamma=90.00
Closest atoms and distances in Å follow each position.
Space group F-43m (No. 216)
Symmetry-distinct sites (fractional):
Mo: 0.0000 0.0000 0.0000 (multiplicity 4)  4 As 2.82
As: 0.2500 0.2500 0.7500 (multiplicity 4)  4 Mo 2.82, 4 Br 2.82
Br: 0.0000 0.0000 0.5000 (multiplicity 4)  4 As 2.82



## 3
Crystalline MoAsBr at its relaxed geometry. Source: Alexandria, functional GGA-PBE.

- Total moment: 0.00 μB per cell
- DOS at the Fermi energy: 1.33 states/eV/cell

Unit cell a=3.1405 b=3.1405 c=12.9138 alpha=90.00 beta=90.00 gamma=90.00
Closest atoms and distances in Å follow each position.
Space group I4mm (No. 107)
Symmetry-distinct sites (fractional):
Mo: 0.0000 0.0000 0.0000 (multiplicity 2)  4 As 2.66, 4 Br 2.80
As: 0.0000 0.0000 0.6135 (multiplicity 2)  4 Mo 2.66
Br: 0.0000 0.0000 0.3676 (multiplicity 2)  4 Mo 2.80



Which structure loses on stability? 2 does.



## 1
Crystalline MoAs2Br at its relaxed geometry. Source: Alexandria, functional GGA-PBE.

- Total moment: 3.47 μB per cell
- DOS at the Fermi energy: 17.15 states/eV/cell

Unit cell a=6.6807 b=6.6807 c=6.6807 alpha=90.00 beta=90.00 gamma=90.00
Closest atoms and distances in Å follow each position.
Space group Fm-3m (No. 225)
Symmetry-distinct sites (fractional):
Mo: 0.0000 0.0000 0.0000 (multiplicity 4)  8 As 2.89
As: 0.2500 0.2500 0.2500 (multiplicity 8)  4 Mo 2.89, 4 Br 2.89
Br: 0.0000 0.0000 0.5000 (multiplicity 4)  8 As 2.89



## 2
Crystalline MoAs2Br at its relaxed geometry. Source: Alexandria, functional GGA-PBE.

- Total moment: 1.38 μB per cell
- DOS at the Fermi energy: 8.27 states/eV/cell

Unit cell a=3.1809 b=5.4173 c=9.6053 alpha=90.00 beta=90.00 gamma=90.00
Closest atoms and distances in Å follow each position.
Space group Cmm2 (No. 35)
Symmetry-distinct sites (fractional):
Mo: 0.0000 0.0000 0.0000 (multiplicity 2)  2 As 2.54, 2 Br 2.61
As: 0.0000 0.0000 0.4513 (multiplicity 2)  8 As 2.84-3.18
As: 0.0000 0.5000 0.2063 (multiplicity 2)  2 Mo 2.54, 2 As 2.84
Br: 0.0000 0.5000 0.7843 (multiplicity 2)  2 Mo 2.61



Which structure loses on stability? 1 does.



## 1
Crystalline MoAs3Br at its relaxed geometry. Source: Alexandria, functional GGA-PBE.

- Total moment: 0.00 μB per cell
- DOS at the Fermi energy: 4.03 states/eV/cell

Unit cell a=4.9006 b=4.9006 c=4.9006 alpha=90.00 beta=90.00 gamma=90.00
Closest atoms and distances in Å follow each position.
Space group Pm-3m (No. 221)
Symmetry-distinct sites (fractional):
Mo: 0.0000 0.0000 0.0000 (multiplicity 1)  6 As 2.45
As: 0.0000 0.0000 0.5000 (multiplicity 3)  2 Mo 2.45
Br: 0.5000 0.5000 0.5000 (multiplicity 1)  12 As 3.47



## 2
Crystalline MoAs3Br at its relaxed geometry. Source: Alexandria, functional GGA-PBE.

- Total moment: 2.54 μB per cell
- DOS at the Fermi energy: 2.11 states/eV/cell

Unit cell a=4.9686 b=4.9686 c=4.9686 alpha=90.00 beta=90.00 gamma=90.00
Closest atoms and distances in Å follow each position.
Space group Pm-3m (No. 221)
Symmetry-distinct sites (fractional):
Mo: 0.0000 0.0000 0.0000 (multiplicity 1)  12 As 3.51
As: 0.0000 0.5000 0.5000 (multiplicity 3)  2 Br 2.48
Br: 0.5000 0.5000 0.5000 (multiplicity 1)  6 As 2.48



Which structure loses on stability? 2 does.



## 1
Crystalline MoAsBr3 at its relaxed geometry. Source: Alexandria, functional GGA-PBE.

- Total moment: 6.00 μB per cell
- DOS at the Fermi energy: 3.27 states/eV/cell

Unit cell a=5.3096 b=5.3096 c=5.3096 alpha=90.00 beta=90.00 gamma=90.00
Closest atoms and distances in Å follow each position.
Space group Pm-3m (No. 221)
Symmetry-distinct sites (fractional):
Mo: 0.0000 0.0000 0.0000 (multiplicity 1)  6 Br 2.65
As: 0.5000 0.5000 0.5000 (multiplicity 1)  12 Br 3.75
Br: 0.0000 0.0000 0.5000 (multiplicity 3)  2 Mo 2.65



## 2
Crystalline MoAsBr3 at its relaxed geometry. Source: Alexandria, functional GGA-PBE.

- Total moment: 5.12 μB per cell
- DOS at the Fermi energy: 4.60 states/eV/cell

Unit cell a=5.3511 b=5.3511 c=5.3511 alpha=90.00 beta=90.00 gamma=90.00
Closest atoms and distances in Å follow each position.
Space group Pm-3m (No. 221)
Symmetry-distinct sites (fractional):
Mo: 0.0000 0.0000 0.0000 (multiplicity 1)  12 Br 3.78
As: 0.5000 0.5000 0.5000 (multiplicity 1)  6 Br 2.68
Br: 0.0000 0.5000 0.5000 (multiplicity 3)  2 As 2.68



Which structure loses on stability? 2 does.



## 1
Crystalline MoAs2BrN at its relaxed geometry. Source: Alexandria, functional GGA-PBE.

- Total moment: 2.59 μB per cell
- DOS at the Fermi energy: 2.00 states/eV/cell

Unit cell a=4.8394 b=4.8394 c=5.3796 alpha=90.00 beta=90.00 gamma=90.00
Closest atoms and distances in Å follow each position.
Space group P4/mmm (No. 123)
Symmetry-distinct sites (fractional):
Mo: 0.0000 0.0000 0.0000 (multiplicity 1)  4 As 2.42, 2 Br 2.69
As: 0.0000 0.5000 0.0000 (multiplicity 2)  2 Mo 2.42
Br: 0.0000 0.0000 0.5000 (multiplicity 1)  2 Mo 2.69
N: 0.5000 0.5000 0.5000 (multiplicity 1)  4 Br 3.42, 8 As 3.62



## 2
Crystalline MoAs2BrN at its relaxed geometry. Source: Alexandria, functional GGA-PBE.

- Total moment: 2.06 μB per cell
- DOS at the Fermi energy: 2.04 states/eV/cell

Unit cell a=4.2102 b=4.2102 c=4.7691 alpha=90.00 beta=90.00 gamma=90.00
Closest atoms and distances in Å follow each position.
Space group P4/mmm (No. 123)
Symmetry-distinct sites (fractional):
Mo: 0.0000 0.0000 0.0000 (multiplicity 1)  4 Br 2.98, 8 As 3.18
As: 0.0000 0.5000 0.5000 (multiplicity 2)  2 N 2.11
Br: 0.5000 0.5000 0.0000 (multiplicity 1)  2 N 2.38
N: 0.5000 0.5000 0.5000 (multiplicity 1)  4 As 2.11



Which structure loses on stability? 1 does.



## 1
Crystalline NaMoAs2Br at its relaxed geometry. Source: Alexandria, functional GGA-PBE.

- Total moment: 0.39 μB per cell
- DOS at the Fermi energy: 4.47 states/eV/cell

Unit cell a=4.8189 b=4.8189 c=5.7905 alpha=90.00 beta=90.00 gamma=90.00
Closest atoms and distances in Å follow each position.
Space group P4/mmm (No. 123)
Symmetry-distinct sites (fractional):
Na: 0.0000 0.0000 0.0000 (multiplicity 1)  4 Br 3.41, 8 As 3.77
Mo: 0.5000 0.5000 0.5000 (multiplicity 1)  4 As 2.41
As: 0.0000 0.5000 0.5000 (multiplicity 2)  2 Mo 2.41
Br: 0.5000 0.5000 0.0000 (multiplicity 1)  2 Mo 2.90



## 2
Crystalline NaMoAs2Br at its relaxed geometry. Source: Alexandria, functional GGA-PBE.

- Total moment: 2.85 μB per cell
- DOS at the Fermi energy: 3.37 states/eV/cell

Unit cell a=5.0222 b=5.0222 c=5.1448 alpha=90.00 beta=90.00 gamma=90.00
Closest atoms and distances in Å follow each position.
Space group P4/mmm (No. 123)
Symmetry-distinct sites (fractional):
Na: 0.0000 0.0000 0.0000 (multiplicity 1)  4 As 2.51, 2 Br 2.57
Mo: 0.5000 0.5000 0.5000 (multiplicity 1)  4 Br 3.55, 8 As 3.59
As: 0.0000 0.5000 0.0000 (multiplicity 2)  2 Na 2.51
Br: 0.0000 0.0000 0.5000 (multiplicity 1)  2 Na 2.57



Which structure loses on stability? 2 does.